Entry 1:
Crystalline LiLa2Si at its relaxed geometry. Source: the Alexandria database, functional PBE.

abc: 6.5748 4.5305 7.4518
angles: 90.00 108.76 90.00
With the nearest neighbours (Å) after each atom.
Atoms (fractional coordinates):
Li 0.0852 0.2500 0.1847  3 Si 2.68-2.86
Li 0.9148 0.7500 0.8153  3 Si 2.68-2.86
La 0.2543 0.7500 0.5685  3 Si 3.17-3.18, 3 Li 3.32-3.54
La 0.3654 0.7500 0.1148  3 Li 3.07-3.08, 3 Si 3.16-3.19
La 0.6346 0.2500 0.8852  3 Li 3.07-3.08, 3 Si 3.16-3.19
La 0.7457 0.2500 0.4315  3 Si 3.17-3.18, 3 Li 3.32-3.54
Si 0.1346 0.2500 0.8170  3 Li 2.68-2.86
Si 0.8654 0.7500 0.1830  3 Li 2.68-2.86

## Properties
The space group is P2_1/m. The volume is 210.18 Å³ per cell.



Entry 2:
Crystalline LiLa3Si2 at its relaxed geometry. Source: the Alexandria database, functional PBE.

abc: 12.2219 4.4757 11.5628
angles: 90.00 90.00 90.00
With the nearest neighbours (Å) after each atom.
Atoms (fractional coordinates):
Li 0.1200 0.2500 0.1132  3 Si 2.64-2.67
Li 0.3800 0.7500 0.6132  3 Si 2.64-2.67
Li 0.6200 0.2500 0.3868  3 Si 2.64-2.67
Li 0.8800 0.7500 0.8868  3 Si 2.64-2.67
La 0.0456 0.2500 0.3741  1 Li 3.15, 5 Si 3.19-3.25
La 0.1355 0.7500 0.9287  3 Li 3.10-3.16, 5 Si 3.15-3.22
La 0.2102 0.2500 0.7004  4 Si 3.18-3.31, 2 Li 3.21
La 0.2898 0.7500 0.2004  4 Si 3.18-3.31, 2 Li 3.21
La 0.3645 0.2500 0.4287  3 Li 3.10-3.16, 5 Si 3.15-3.22
La 0.4544 0.7500 0.8741  1 Li 3.15, 5 Si 3.19-3.25
La 0.5456 0.2500 0.1259  1 Li 3.15, 5 Si 3.19-3.25
La 0.6355 0.7500 0.5713  3 Li 3.10-3.16, 5 Si 3.15-3.22
La 0.7102 0.2500 0.7996  4 Si 3.18-3.31, 2 Li 3.21
La 0.7898 0.7500 0.2996  4 Si 3.18-3.31, 2 Li 3.21
La 0.8645 0.2500 0.0713  3 Li 3.10-3.16, 5 Si 3.15-3.22
La 0.9544 0.7500 0.6259  1 Li 3.15, 5 Si 3.19-3.25
Si 0.0202 0.7500 0.1727  2 Li 2.64
Si 0.1882 0.7500 0.5028  1 Li 2.67
Si 0.3118 0.2500 0.0028  1 Li 2.67
Si 0.4798 0.2500 0.6727  2 Li 2.64
Si 0.5202 0.7500 0.3273  2 Li 2.64
Si 0.6882 0.7500 0.9972  1 Li 2.67
Si 0.8118 0.2500 0.4972  1 Li 2.67
Si 0.9798 0.2500 0.8273  2 Li 2.64

## Properties
The space group is Pnma. The volume is 632.50 Å³ per cell.



Entry 3:
Crystalline LiLa2Si at its relaxed geometry. Source: the Alexandria database, functional PBE.

abc: 5.1244 5.1244 5.1244
angles: 60.00 60.00 60.00
With the nearest neighbours (Å) after each atom.
Atoms (fractional coordinates):
Li 0.0000 0.0000 0.0000  4 La 3.14, 4 Si 3.14
La 0.2500 0.2500 0.2500  4 La 3.14, 4 Li 3.14
La 0.5000 0.5000 0.5000  4 La 3.14, 4 Si 3.14
Si 0.7500 0.7500 0.7500  4 La 3.14, 4 Li 3.14

## Properties
The space group is F-43m. The volume is 95.15 Å³ per cell.



The calculation returns the following raw formation energy values, one per record and in order: -0.36, -0.52, 0.04 eV/atom.
The calculation returns the following calculated total energy values, one per record and in order: -4.661, -5.107, -4.260 eV per atom.